<1>
Material: Mg3HgCl
Method: DFT, PBE
State: optimized geometry

a b c (Å): 4.985 4.985 4.985
angles (deg): 90.00 90.00 90.00
Fractional coordinates of all 5 atoms:
Mg 0.000 0.500 0.000
Mg 0.000 0.000 0.500
Mg 0.500 0.000 0.000
Hg 0.500 0.500 0.500
Cl 0.000 0.000 0.000

Output
magnetization	0.00	μB per cell


<2>
Material: Mg3HgCl
Method: DFT, PBE
State: optimized geometry

a b c (Å): 5.292 5.292 5.292
angles (deg): 90.00 90.00 90.00
Fractional coordinates of all 5 atoms:
Mg 0.000 0.500 0.000
Mg 0.000 0.000 0.500
Mg 0.500 0.000 0.000
Hg 0.000 0.000 0.000
Cl 0.500 0.500 0.500

Output
magnetization	0.00	μB per cell


Energetically preferred structure: <2> | next structure: +0.222 eV/atom


<1>
Material: MgHgPCl2
Method: DFT, PBE
State: optimized geometry

a b c (Å): 4.730 5.710 4.730
angles (deg): 90.00 90.00 90.00
Fractional coordinates of all 5 atoms:
P 0.000 0.500 0.000
Mg 0.000 0.000 0.000
Hg 0.500 0.500 0.500
Cl 0.000 0.000 0.500
Cl 0.500 0.000 0.000

Output
magnetization	1.35	μB per cell


<2>
Material: MgHgPCl2
Method: DFT, PBE
State: optimized geometry

a b c (Å): 5.279 5.279 5.116
angles (deg): 90.00 90.00 90.00
Fractional coordinates of all 5 atoms:
P 0.000 0.000 0.500
Mg 0.500 0.500 0.500
Hg 0.000 0.000 0.000
Cl 0.000 0.500 0.000
Cl 0.500 0.000 0.000

Output
magnetization	0.86	μB per cell


Energetically preferred structure: <1> | next structure: +0.522 eV/atom